Entry 1:
TbHoNO | PBE | relaxed

It has space group Pbcm (No. 57), with a = 8.064 Å, b = 6.580 Å, c = 4.934 Å, α = 90.00°, β = 90.00° and γ = 90.00°. The inequivalent atoms are Tb at (0.128, 0.082, 0.250), Ho at (0.378, 0.570, 0.250), N at (0.128, 0.067, 0.750) and O at (0.372, 0.595, 0.750).

Its polymorph energy (0 for the lowest one) is 15 kJ/mol of formula units. The raw total energy is -31.27 eV per formula unit.

=====

Entry 2:
HoTcNO | PBE | relaxed

It has space group Pmc2_1 (No. 26), with a = 3.534 Å, b = 6.184 Å, c = 5.145 Å, α = 90.00°, β = 90.00° and γ = 90.00°. The inequivalent atoms are Ho at (0.000, 0.228, 0.000), Tc at (0.500, 0.257, 0.514), N at (0.000, 0.139, 0.492) and O at (0.500, 0.425, 0.876).

Its polymorph energy (0 for the lowest one) is 202 kJ/mol of formula units. The raw total energy is -32.99 eV per formula unit.

=====

Entry 3:
HoTcNO | PBE | relaxed

It has space group Pmc2_1 (No. 26), with a = 3.267 Å, b = 5.648 Å, c = 5.701 Å, α = 90.00°, β = 90.00° and γ = 90.00°. The inequivalent atoms are Ho at (0.000, 0.225, 0.000), Tc at (0.500, 0.230, 0.523), N at (0.500, 0.028, 0.261) and O at (0.000, 0.442, 0.687).

Its polymorph energy (0 for the lowest one) is 206 kJ/mol of formula units. The raw total energy is -32.95 eV per formula unit.

=====

Entry 4:
HoTcNO | PBE | relaxed

It has space group Pca2_1 (No. 29), with a = 5.498 Å, b = 7.733 Å, c = 5.168 Å, α = 90.00°, β = 90.00° and γ = 90.00°. The inequivalent atoms are Ho at (0.017, 0.143, 0.000), Tc at (0.125, 0.483, 0.692), N at (0.095, 0.350, 0.365) and O at (0.249, 0.984, 0.246).

Its polymorph energy (0 for the lowest one) is 0 kJ/mol of formula units. The raw total energy is -35.08 eV per formula unit.

=====

Entry 5:
HoTcNO | PBE | relaxed

It has space group Pca2_1 (No. 29), with a = 6.027 Å, b = 7.521 Å, c = 4.848 Å, α = 90.00°, β = 90.00° and γ = 90.00°. The inequivalent atoms are Ho at (0.059, 0.152, 0.000), Tc at (0.140, 0.663, 0.993), N at (0.062, 0.140, 0.500) and O at (0.032, 0.564, 0.608).

Its polymorph energy (0 for the lowest one) is 226 kJ/mol of formula units. The raw total energy is -32.74 eV per formula unit.

=====

Entry 6:
HoTcNO | PBE | relaxed

It has space group P4/nmm (No. 129, origin choice 2), with a = 3.750 Å, b = 3.750 Å, c = 7.666 Å, α = 90.00°, β = 90.00° and γ = 90.00°. The inequivalent atoms are Ho at (0.250, 0.250, 0.148), Tc at (0.250, 0.750, 0.500), N at (0.250, 0.250, 0.630) and O at (0.250, 0.750, 0.000).

Its polymorph energy (0 for the lowest one) is 81 kJ/mol of formula units. The raw total energy is -34.25 eV per formula unit.

=====

Entry 7:
HoTcNO | PBE | relaxed

It has space group P4/mmm (No. 123), with a = 3.368 Å, b = 3.368 Å, c = 4.366 Å, α = 90.00°, β = 90.00° and γ = 90.00°. The inequivalent atoms are Ho at (0.000, 0.000, 0.000), Tc at (0.500, 0.500, 0.500), N at (0.500, 0.500, 0.000) and O at (0.000, 0.000, 0.500).

Its polymorph energy (0 for the lowest one) is 259 kJ/mol of formula units. The raw total energy is -32.40 eV per formula unit.

=====

Entry 8:
HoTeNO | PBE | relaxed

It has space group Pca2_1 (No. 29), with a = 5.521 Å, b = 9.205 Å, c = 5.635 Å, α = 90.00°, β = 90.00° and γ = 90.00°. The inequivalent atoms are Ho at (0.034, 0.112, 0.000), Te at (0.036, 0.383, 0.478), N at (0.234, 0.283, 0.739) and O at (0.250, 0.973, 0.251).

Its polymorph energy (0 for the lowest one) is 0 kJ/mol of formula units. The raw total energy is -27.04 eV per formula unit.

=====

Entry 9:
HoTeNO | PBE | relaxed

It has space group P4/nmm (No. 129, origin choice 2), with a = 5.049 Å, b = 5.049 Å, c = 4.787 Å, α = 90.00°, β = 90.00° and γ = 90.00°. The inequivalent atoms are Ho at (0.250, 0.750, 0.000), Te at (0.250, 0.250, 0.483), N at (0.250, 0.250, 0.915) and O at (0.250, 0.750, 0.500).

Its polymorph energy (0 for the lowest one) is 274 kJ/mol of formula units. The raw total energy is -24.20 eV per formula unit.

=====

Entry 10:
HoTeNO | PBE | relaxed

It has space group Pmc2_1 (No. 26), with a = 4.122 Å, b = 5.896 Å, c = 6.477 Å, α = 90.00°, β = 90.00° and γ = 90.00°. The inequivalent atoms are Ho at (0.000, 0.201, 0.000), Te at (0.500, 0.330, 0.403), N at (0.500, 0.371, 0.058) and O at (0.000, 0.075, 0.701).

Its polymorph energy (0 for the lowest one) is 151 kJ/mol of formula units. The raw total energy is -25.48 eV per formula unit.

=====

Entry 11:
HoTeNO | PBE | relaxed

It has space group P4/nmm (No. 129, origin choice 2), with a = 4.503 Å, b = 4.503 Å, c = 7.002 Å, α = 90.00°, β = 90.00° and γ = 90.00°. The inequivalent atoms are Ho at (0.250, 0.250, 0.117), Te at (0.250, 0.750, 0.500), N at (0.250, 0.250, 0.445) and O at (0.250, 0.750, 0.000).

Its polymorph energy (0 for the lowest one) is 159 kJ/mol of formula units. The raw total energy is -25.39 eV per formula unit.